A plane-wave DFT calculation with PBE was carried out for a relaxed structure of Ba2CeC3O9F.

extended XYZ file:
```
32
Lattice="6.7011 0.0000 0.0000 0.0000 5.1611 0.0000 -2.9091 0.0000 12.9783" Properties=species:S:1:pos:R:3 pbc="T T T"
Ba 0.2016 1.2903 5.5160
Ba 1.5834 1.2903 1.0833
Ba 2.2086 3.8708 11.8950
Ba 3.5904 3.8708 7.4623
Ce -0.6232 1.2903 9.5821
Ce 4.4152 3.8708 3.3962
C 0.7732 3.8708 2.9547
C -0.9868 3.8708 12.0118
C 0.3937 3.8708 8.1599
C 3.3984 1.2903 4.8185
C 4.7789 1.2903 0.9665
C 3.0189 1.2903 10.0236
O 0.1156 2.7557 3.0863
O 0.1156 4.9860 3.0863
O -1.9655 3.8708 12.8491
O -0.7026 3.8708 8.8757
O -0.4548 2.7435 11.6268
O -0.4548 4.9981 11.6268
O 2.0259 3.8708 2.6373
O 0.9301 2.7379 7.8438
O 0.9301 5.0038 7.8438
O 2.8619 0.1573 5.1345
O 2.8619 2.4232 5.1345
O 1.7662 1.2903 10.3410
O 4.2469 0.1630 1.3515
O 4.2469 2.4176 1.3515
O 4.4947 1.2903 4.1026
O 5.7575 1.2903 0.1292
O 3.6764 0.1751 9.8921
O 3.6764 2.4054 9.8921
F -1.1518 3.8708 5.5260
F 4.9438 1.2903 7.4523
```

- SG = P2_1/m
- uncorrected energy (eV/cell) = -244.4
- magnetic moment (μB/cell) = 2.000
- ΔE_f (raw) (meV per atom) = -2391

---

A plane-wave DFT calculation with PBE was carried out for a relaxed structure of TeOsRu2.

extended XYZ file:
```
4
Lattice="2.9697 0.0000 0.0000 0.0000 2.9697 0.0000 0.0000 0.0000 7.3479" Properties=species:S:1:pos:R:3 pbc="T T T"
Te 0.0000 0.0000 0.0000
Os 1.4849 1.4849 2.1069
Ru 0.0000 0.0000 3.6969
Ru 1.4849 1.4849 5.5696
```

- SG = P4mm
- uncorrected energy (eV/cell) = -30.5
- magnetic moment (μB/cell) = 0.000
- ΔE_f (raw) (meV per atom) = 607

---

A plane-wave DFT calculation with PBE was carried out for a relaxed structure of KSmSe2O8.

extended XYZ file:
```
12
Lattice="5.6598 0.0000 0.0000 -2.8299 4.9015 0.0000 0.0000 0.0000 8.1922" Properties=species:S:1:pos:R:3 pbc="T T T"
K 0.0000 0.0000 0.0000
Sm 0.0000 0.0000 4.0961
Se 0.0000 3.2677 6.1624
Se 2.8299 1.6338 2.0298
O -0.3785 1.7431 5.5658
O -1.1311 4.3578 5.5658
O 0.0000 3.2677 7.8018
O 1.3203 1.1993 2.6264
O 1.5096 3.7022 5.5658
O 2.8299 1.6338 0.3905
O 3.9610 0.5438 2.6264
O 3.2084 3.1584 2.6264
```

- energy relative to the lowest polymorph listed for this composition (kJ per mole of atoms) = 2.1
- SG = P-3
- uncorrected energy (eV/cell) = -70.7
- magnetic moment (μB/cell) = 0.000
- ΔE_f (raw) (meV per atom) = -1523